No. 1
A plane-wave DFT calculation with GGA-PBE was carried out for a relaxed structure of Tc2NiMo.

Geometry as CIF:
```
data_Tc2NiMo
_chemical_formula_sum 'Tc8 Ni4 Mo4'
_space_group_name_H-M_alt 'F 2 2 2'
_space_group_IT_number 22
_space_group_name_Hall 'F 2 2'
_cell_length_a 5.4374
_cell_length_b 5.4473
_cell_length_c 7.5540
_cell_angle_alpha 90.00
_cell_angle_beta 90.00
_cell_angle_gamma 90.00
loop_
_atom_site_label
_atom_site_type_symbol
_atom_site_fract_x
_atom_site_fract_y
_atom_site_fract_z
Tc1 Tc 0.0000 0.0000 0.0000
Tc2 Tc 0.2500 0.2500 0.2500
Ni1 Ni 0.2500 0.2500 0.7500
Mo1 Mo 0.0000 0.0000 0.5000
```

Computed properties:
Excess energy over the best structure of this formula in the dataset, meV per atom: 25
Energy of formation from the pure elements, kJ per mole of atoms: 0.97
DOS(E_F), states/eV/f.u.: 2.712
Uncorrected energy, eV per atom: -9.33
Size of the total moment, μB per atom: 0.00

***

No. 2
A plane-wave DFT calculation with GGA-PBE was carried out for a relaxed structure of Tc2Ni2Mo.

Geometry as CIF:
```
data_Tc2Ni2Mo
_chemical_formula_sum 'Tc4 Ni4 Mo2'
_space_group_name_H-M_alt 'P 4/m b m'
_space_group_IT_number 127
_space_group_name_Hall '-P 4 2ab'
_cell_length_a 7.1100
_cell_length_b 7.1100
_cell_length_c 2.6717
_cell_angle_alpha 90.00
_cell_angle_beta 90.00
_cell_angle_gamma 90.00
loop_
_atom_site_label
_atom_site_type_symbol
_atom_site_fract_x
_atom_site_fract_y
_atom_site_fract_z
Tc1 Tc 0.1763 0.3237 0.0000
Ni1 Ni 0.1193 0.6193 0.5000
Mo1 Mo 0.0000 0.0000 0.5000
```

Computed properties:
Energy of formation from the pure elements, kJ per mole of atoms: 16.14
DOS(E_F), states/eV/f.u.: 7.786
Uncorrected energy, eV per atom: -8.46
Size of the total moment, μB per atom: 0.00

***

No. 3
A plane-wave DFT calculation with GGA-PBE was carried out for a relaxed structure of TcNiMo2.

Geometry as CIF:
```
data_TcNiMo2
_chemical_formula_sum 'Tc1 Ni1 Mo2'
_space_group_name_H-M_alt 'P 4/m m m'
_space_group_IT_number 123
_space_group_name_Hall '-P 4 2'
_cell_length_a 3.8644
_cell_length_b 3.8644
_cell_length_c 3.8193
_cell_angle_alpha 90.00
_cell_angle_beta 90.00
_cell_angle_gamma 90.00
loop_
_atom_site_label
_atom_site_type_symbol
_atom_site_fract_x
_atom_site_fract_y
_atom_site_fract_z
Tc1 Tc 0.0000 0.0000 0.0000
Ni1 Ni 0.5000 0.5000 0.0000
Mo1 Mo 0.0000 0.5000 0.5000
```

Computed properties:
Excess energy over the best structure of this formula in the dataset, meV per atom: 0
Energy of formation from the pure elements, kJ per mole of atoms: 0.65
DOS(E_F), states/eV/f.u.: 2.566
Uncorrected energy, eV per atom: -9.45
Size of the total moment, μB per atom: 0.00

***

No. 4
A plane-wave DFT calculation with GGA-PBE was carried out for a relaxed structure of Tc2NiMo.

Geometry as CIF:
```
data_Tc2NiMo
_chemical_formula_sum 'Tc6 Ni3 Mo3'
_space_group_name_H-M_alt 'R -3 m'
_space_group_IT_number 166
_space_group_name_Hall '-R 3 2"'
_cell_length_a 2.7181
_cell_length_b 2.7181
_cell_length_c 26.6217
_cell_angle_alpha 90.00
_cell_angle_beta 90.00
_cell_angle_gamma 120.00
loop_
_atom_site_label
_atom_site_type_symbol
_atom_site_fract_x
_atom_site_fract_y
_atom_site_fract_z
Tc1 Tc 0.0000 0.0000 0.2461
Ni1 Ni 0.0000 0.0000 0.5000
Mo1 Mo 0.0000 0.0000 0.0000
```

Computed properties:
Excess energy over the best structure of this formula in the dataset, meV per atom: 203
Energy of formation from the pure elements, kJ per mole of atoms: 18.09
DOS(E_F), states/eV/f.u.: 5.305
Uncorrected energy, eV per atom: -9.15
Size of the total moment, μB per atom: 0.00

***

No. 5
A plane-wave DFT calculation with GGA-PBE was carried out for a relaxed structure of Tc2NiMo.

Geometry as CIF:
```
data_Tc2NiMo
_chemical_formula_sum 'Tc2 Ni1 Mo1'
_space_group_name_H-M_alt 'P 4/m m m'
_space_group_IT_number 123
_space_group_name_Hall '-P 4 2'
_cell_length_a 3.8331
_cell_length_b 3.8331
_cell_length_c 3.7937
_cell_angle_alpha 90.00
_cell_angle_beta 90.00
_cell_angle_gamma 90.00
loop_
_atom_site_label
_atom_site_type_symbol
_atom_site_fract_x
_atom_site_fract_y
_atom_site_fract_z
Tc1 Tc 0.0000 0.5000 0.0000
Ni1 Ni 0.0000 0.0000 0.5000
Mo1 Mo 0.5000 0.5000 0.5000
```

Computed properties:
Excess energy over the best structure of this formula in the dataset, meV per atom: 0
Energy of formation from the pure elements, kJ per mole of atoms: -1.45
DOS(E_F), states/eV/f.u.: 3.434
Uncorrected energy, eV per atom: -9.35
Size of the total moment, μB per atom: 0.00

***

No. 6
A plane-wave DFT calculation with GGA-PBE was carried out for a relaxed structure of TcNi2Mo.

Geometry as CIF:
```
data_TcNi2Mo
_chemical_formula_sum 'Tc4 Ni8 Mo4'
_space_group_name_H-M_alt 'F -4 3 m'
_space_group_IT_number 216
_space_group_name_Hall 'F -4 2 3'
_cell_length_a 5.9729
_cell_length_b 5.9729
_cell_length_c 5.9729
_cell_angle_alpha 90.00
_cell_angle_beta 90.00
_cell_angle_gamma 90.00
loop_
_atom_site_label
_atom_site_type_symbol
_atom_site_fract_x
_atom_site_fract_y
_atom_site_fract_z
Tc1 Tc 0.0000 0.0000 0.0000
Ni1 Ni 0.0000 0.0000 0.5000
Ni2 Ni 0.2500 0.2500 0.2500
Mo1 Mo 0.2500 0.2500 0.7500
```

Computed properties:
Excess energy over the best structure of this formula in the dataset, meV per atom: 195
Energy of formation from the pure elements, kJ per mole of atoms: 14.34
DOS(E_F), states/eV/f.u.: 4.197
Uncorrected energy, eV per atom: -8.04
Size of the total moment, μB per atom: 0.21

***

No. 7
A plane-wave DFT calculation with GGA-PBE was carried out for a relaxed structure of TcNiMo2.

Geometry as CIF:
```
data_TcNiMo2
_chemical_formula_sum 'Tc2 Ni2 Mo4'
_space_group_name_H-M_alt 'C 1 2/m 1'
_space_group_IT_number 12
_space_group_name_Hall '-C 2y'
_cell_length_a 5.3570
_cell_length_b 8.6029
_cell_length_c 2.6345
_cell_angle_alpha 90.00
_cell_angle_beta 107.51
_cell_angle_gamma 90.00
loop_
_atom_site_label
_atom_site_type_symbol
_atom_site_fract_x
_atom_site_fract_y
_atom_site_fract_z
Tc1 Tc 0.0000 0.0000 0.0000
Ni1 Ni 0.0000 0.5000 0.0000
Mo1 Mo 0.2500 0.2500 0.5000
```

Computed properties:
Excess energy over the best structure of this formula in the dataset, meV per atom: 116
Energy of formation from the pure elements, kJ per mole of atoms: 11.89
DOS(E_F), states/eV/f.u.: 4.394
Uncorrected energy, eV per atom: -9.33
Size of the total moment, μB per atom: 0.00

***

No. 8
A plane-wave DFT calculation with GGA-PBE was carried out for a relaxed structure of TcNi2Mo.

Geometry as CIF:
```
data_TcNi2Mo
_chemical_formula_sum 'Tc2 Ni4 Mo2'
_space_group_name_H-M_alt 'I -4 m 2'
_space_group_IT_number 119
_space_group_name_Hall 'I -4 -2'
_cell_length_a 3.7639
_cell_length_b 3.7639
_cell_length_c 7.3937
_cell_angle_alpha 90.00
_cell_angle_beta 90.00
_cell_angle_gamma 90.00
loop_
_atom_site_label
_atom_site_type_symbol
_atom_site_fract_x
_atom_site_fract_y
_atom_site_fract_z
Tc1 Tc 0.0000 0.0000 0.0000
Ni1 Ni 0.0000 0.0000 0.5000
Ni2 Ni 0.0000 0.5000 0.2500
Mo1 Mo 0.0000 0.5000 0.7500
```

Computed properties:
Excess energy over the best structure of this formula in the dataset, meV per atom: 75
Energy of formation from the pure elements, kJ per mole of atoms: 2.79
DOS(E_F), states/eV/f.u.: 6.500
Uncorrected energy, eV per atom: -8.16
Size of the total moment, μB per atom: 0.00

***

Short version: density = 10.4; 10.1; 10.1; 10.3; 10.4; 9.7; 10.0; 9.9 g cm⁻³, in the order given.